(A)
# Pr6Hg2C

A geometry-optimized Pr6Hg2C structure (PBE, the Alexandria database).

Unit cell a=7.2174 b=7.2174 c=11.8056 alpha=90.00 beta=90.00 gamma=90.00
Space group P4_2/mnm (No. 136)
Unique sites:
Pr (0.1908, 0.1908, 0.1498) (multiplicity 8)
Pr (0.2439, 0.7561, 0.0000) (multiplicity 4)
Hg (0.0000, 0.0000, 0.3598) (multiplicity 4)
C (0.0000, 0.0000, 0.0000) (multiplicity 2)

V ... 615.0 Å³/cell



(B)
# Pr6Hg2C

A geometry-optimized Pr6Hg2C structure (PBE, the Alexandria database).

Unit cell a=6.9960 b=7.4562 c=12.5743 alpha=90.00 beta=123.49 gamma=90.00
Space group P2_1/c (No. 14)
Unique sites:
Pr (0.1449, 0.0196, 0.2390) (multiplicity 4)
Pr (0.2334, 0.7129, 0.0392) (multiplicity 4)
Pr (0.3374, 0.1973, 0.0433) (multiplicity 4)
Hg (0.2877, 0.0625, 0.7484) (multiplicity 4)
C (0.0000, 0.0000, 0.0000) (multiplicity 2)

V ... 547.0 Å³/cell



Q: Which of them is the most stable? A: (B).



(A)
# Pr4Hg2C

A geometry-optimized Pr4Hg2C structure (PBE, the Alexandria database).

Unit cell a=5.1965 b=5.1965 c=15.3093 alpha=90.00 beta=90.00 gamma=90.00
Space group I4/mmm (No. 139)
Unique sites:
Pr (0.0000, 0.0000, 0.1678) (multiplicity 4)
Pr (0.0000, 0.5000, 0.0000) (multiplicity 4)
Hg (0.0000, 0.0000, 0.3714) (multiplicity 4)
C (0.0000, 0.0000, 0.0000) (multiplicity 2)

V ... 413.4 Å³/cell



(B)
# Pr4Hg2C

A geometry-optimized Pr4Hg2C structure (PBE, the Alexandria database).

Unit cell a=8.1526 b=13.3447 c=3.8009 alpha=90.00 beta=90.00 gamma=90.00
Space group Pbam (No. 55)
Unique sites:
Pr (0.1135, 0.1811, 0.0000) (multiplicity 4)
Pr (0.2086, 0.9541, 0.5000) (multiplicity 4)
Hg (0.0713, 0.6619, 0.5000) (multiplicity 4)
C (0.0000, 0.0000, 0.0000) (multiplicity 2)

V ... 413.5 Å³/cell



Q: Which of them is the most stable? A: (A).



(A)
# Hg3PtC

A geometry-optimized Hg3PtC structure (PBE, the Alexandria database).

Unit cell a=5.2972 b=5.2972 c=5.2972 alpha=90.00 beta=90.00 gamma=90.00
Space group Pm-3m (No. 221)
Unique sites:
Hg (0.0000, 0.0000, 0.5000) (multiplicity 3)
Pt (0.0000, 0.0000, 0.0000) (multiplicity 1)
C (0.5000, 0.5000, 0.5000) (multiplicity 1)

V ... 148.6 Å³/cell



(B)
# Hg3PtC

A geometry-optimized Hg3PtC structure (PBE, the Alexandria database).

Unit cell a=4.5811 b=4.5811 c=4.5811 alpha=90.00 beta=90.00 gamma=90.00
Space group Pm-3m (No. 221)
Unique sites:
Hg (0.0000, 0.0000, 0.5000) (multiplicity 3)
Pt (0.5000, 0.5000, 0.5000) (multiplicity 1)
C (0.0000, 0.0000, 0.0000) (multiplicity 1)

V ... 96.1 Å³/cell



Q: Which of them is the most stable? A: (B).



(A)
# HgPt3C

A geometry-optimized HgPt3C structure (PBE, the Alexandria database).

Unit cell a=5.0495 b=5.0495 c=5.0495 alpha=90.00 beta=90.00 gamma=90.00
Space group Pm-3m (No. 221)
Unique sites:
Hg (0.0000, 0.0000, 0.0000) (multiplicity 1)
Pt (0.0000, 0.0000, 0.5000) (multiplicity 3)
C (0.5000, 0.5000, 0.5000) (multiplicity 1)

V ... 128.7 Å³/cell



(B)
# HgPt3C

A geometry-optimized HgPt3C structure (PBE, the Alexandria database).

Unit cell a=4.2503 b=4.2503 c=4.2503 alpha=90.00 beta=90.00 gamma=90.00
Space group Pm-3m (No. 221)
Unique sites:
Hg (0.0000, 0.0000, 0.0000) (multiplicity 1)
Pt (0.0000, 0.5000, 0.5000) (multiplicity 3)
C (0.5000, 0.5000, 0.5000) (multiplicity 1)

V ... 76.8 Å³/cell



Q: Which of them is the most stable? A: (B).